LaAlPb2 after structural relaxation. Source: Alexandria, functional PBE.

Cell: 6.592 6.592 3.565 Å, 104.94 104.94 118.75°
Element x y z (fractional)
La 0.000 0.000 0.000
Al 0.500 0.500 0.000
Pb 0.000 0.500 0.500
Pb 0.500 0.000 0.500

Properties
The crystal system is monoclinic. The calculated density comes out at 8.23 g/cm3. The value obtained for the calculated volume is 117.14 Å³ per cell. The uncorrected energy is -4.1420 eV per atom.